A plane-wave DFT calculation with SCAN was carried out for a crystal of TePdN2O relaxed with PBEsol.

Lattice parameters (Å, degrees): 3.643 3.643 5.865 90.00 90.00 90.00
Positions (direct):
O  0.500  0.500  0.500
Pd  0.000  0.000  0.000
N  0.000  0.500  0.000
Te  0.000  0.000  0.500
N  0.500  0.000  0.000

Results
- Formation energy without anion corrections: 1.477 eV/atom
- Density: 5.93 g/cm³
- Calculated volume: 77.8 Å³ per cell
- Electronic total energy: -17.4904 eV/atom
- Space-group type: P4/mmm